Entry 1:
# PBE-GGA AcTcAsO, relaxed
data_AcTcAsO
_symmetry_space_group_name_H-M 'P 1'
_symmetry_Int_Tables_number 1
_cell_length_a 4.441
_cell_length_b 4.399
_cell_length_c 7.616
_cell_angle_alpha 90.00
_cell_angle_beta 90.00
_cell_angle_gamma 90.00
loop_
_symmetry_equiv_pos_as_xyz
'x,y,z'
loop_
_atom_site_label
_atom_site_fract_x
_atom_site_fract_y
_atom_site_fract_z
Ac1 0.000 0.250 0.000
Ac2 0.000 0.750 0.500
Tc1 0.500 0.247 0.333
Tc2 0.500 0.753 0.833
As1 0.500 0.252 0.666
As2 0.500 0.748 0.166
O1 0.000 0.250 0.334
O2 0.000 0.750 0.834
# total magnetic moment	0.01	μB per cell
# DFT total energy	-7.322	eV per atom

***

Entry 2:
# PBE-GGA HoFe2Co, relaxed
data_HoFe2Co
_symmetry_space_group_name_H-M 'P 1'
_symmetry_Int_Tables_number 1
_cell_length_a 8.597
_cell_length_b 8.597
_cell_length_c 8.597
_cell_angle_alpha 34.03
_cell_angle_beta 34.03
_cell_angle_gamma 34.03
loop_
_symmetry_equiv_pos_as_xyz
'x,y,z'
loop_
_atom_site_label
_atom_site_fract_x
_atom_site_fract_y
_atom_site_fract_z
Ho1 0.000 0.000 0.000
Ho2 0.142 0.142 0.142
Ho3 0.858 0.858 0.858
Fe1 0.081 0.582 0.582
Fe2 0.418 0.418 0.919
Fe3 0.418 0.919 0.418
Fe4 0.582 0.081 0.582
Fe5 0.582 0.582 0.081
Fe6 0.919 0.418 0.418
Co1 0.333 0.333 0.333
Co2 0.500 0.500 0.500
Co3 0.667 0.667 0.667
# total magnetic moment	16.32	μB per cell
# DFT total energy	-7.206	eV per atom
# energy of formation from the pure elements	-0.1304	eV per atom

***

Entry 3:
# PBE-GGA Gd3ZrO6, relaxed
data_Gd3ZrO6
_symmetry_space_group_name_H-M 'P 1'
_symmetry_Int_Tables_number 1
_cell_length_a 7.149
_cell_length_b 7.149
_cell_length_c 5.602
_cell_angle_alpha 90.00
_cell_angle_beta 90.00
_cell_angle_gamma 100.80
loop_
_symmetry_equiv_pos_as_xyz
'x,y,z'
loop_
_atom_site_label
_atom_site_fract_x
_atom_site_fract_y
_atom_site_fract_z
Gd1 0.102 0.898 0.500
Gd2 0.196 0.406 0.553
Gd3 0.406 0.196 0.053
Gd4 0.594 0.804 0.553
Gd5 0.804 0.594 0.053
Gd6 0.898 0.102 0.000
Zr1 0.337 0.663 0.067
Zr2 0.663 0.337 0.567
O1 0.089 0.600 0.258
O2 0.138 0.173 0.278
O3 0.173 0.138 0.778
O4 0.279 0.721 0.723
O5 0.400 0.911 0.258
O6 0.487 0.513 0.334
O7 0.513 0.487 0.834
O8 0.600 0.089 0.758
O9 0.721 0.279 0.223
O10 0.827 0.862 0.278
O11 0.862 0.827 0.778
O12 0.911 0.400 0.758
# total magnetic moment	0.01	μB per cell
# DFT total energy	-8.521	eV per atom

***

Entry 4:
# PBE-GGA Hf2HgPd3, relaxed
data_Hf2HgPd3
_symmetry_space_group_name_H-M 'P 1'
_symmetry_Int_Tables_number 1
_cell_length_a 3.496
_cell_length_b 3.496
_cell_length_c 8.808
_cell_angle_alpha 90.00
_cell_angle_beta 90.00
_cell_angle_gamma 90.00
loop_
_symmetry_equiv_pos_as_xyz
'x,y,z'
loop_
_atom_site_label
_atom_site_fract_x
_atom_site_fract_y
_atom_site_fract_z
Hf1 0.000 0.000 0.000
Hf2 0.500 0.500 0.469
Hg1 0.000 0.000 0.661
Pd1 0.000 0.000 0.328
Pd2 0.500 0.500 0.151
Pd3 0.500 0.500 0.829
# total magnetic moment	0.01	μB per cell
# DFT total energy	-6.629	eV per atom
# energy of formation from the pure elements	-0.6735	eV per atom

***

Entry 5:
# PBE-GGA GdDyCuSe3, relaxed
data_GdDyCuSe3
_symmetry_space_group_name_H-M 'P 1'
_symmetry_Int_Tables_number 1
_cell_length_a 6.895
_cell_length_b 6.895
_cell_length_c 10.611
_cell_angle_alpha 90.00
_cell_angle_beta 90.00
_cell_angle_gamma 147.04
loop_
_symmetry_equiv_pos_as_xyz
'x,y,z'
loop_
_atom_site_label
_atom_site_fract_x
_atom_site_fract_y
_atom_site_fract_z
Gd1 0.000 0.000 0.000
Gd2 0.000 0.000 0.500
Dy1 0.229 0.771 0.750
Dy2 0.771 0.229 0.250
Cu1 0.476 0.524 0.250
Cu2 0.524 0.476 0.750
Se1 0.098 0.902 0.250
Se2 0.352 0.648 0.077
Se3 0.352 0.648 0.423
Se4 0.648 0.352 0.577
Se5 0.648 0.352 0.923
Se6 0.902 0.098 0.750
# total magnetic moment	0.02	μB per cell
# DFT total energy	-5.285	eV per atom

***

Entry 6:
# PBE-GGA LuIrPt, relaxed
data_LuIrPt
_symmetry_space_group_name_H-M 'P 1'
_symmetry_Int_Tables_number 1
_cell_length_a 4.466
_cell_length_b 4.466
_cell_length_c 4.466
_cell_angle_alpha 60.00
_cell_angle_beta 60.00
_cell_angle_gamma 60.00
loop_
_symmetry_equiv_pos_as_xyz
'x,y,z'
loop_
_atom_site_label
_atom_site_fract_x
_atom_site_fract_y
_atom_site_fract_z
Lu1 0.000 0.000 0.000
Ir1 0.500 0.500 0.500
Pt1 0.750 0.750 0.750
# total magnetic moment	0.53	μB per cell
# DFT total energy	-6.845	eV per atom
# energy of formation from the pure elements	-0.3668	eV per atom

***

Entry 7:
# PBE-GGA Cd2GeP4Os, relaxed
data_Cd2GeP4Os
_symmetry_space_group_name_H-M 'P 1'
_symmetry_Int_Tables_number 1
_cell_length_a 6.826
_cell_length_b 6.826
_cell_length_c 6.826
_cell_angle_alpha 130.25
_cell_angle_beta 130.25
_cell_angle_gamma 73.00
loop_
_symmetry_equiv_pos_as_xyz
'x,y,z'
loop_
_atom_site_label
_atom_site_fract_x
_atom_site_fract_y
_atom_site_fract_z
Cd1 0.000 0.000 0.000
Cd2 0.750 0.250 0.500
Ge1 0.250 0.750 0.500
P1 0.171 0.620 0.033
P2 0.380 0.413 0.552
P3 0.587 0.139 0.967
P4 0.861 0.829 0.448
Os1 0.500 0.500 0.000
# total magnetic moment	0.00	μB per cell
# DFT total energy	-4.887	eV per atom

***

Entry 8:
# PBE-GGA NaReBr6, relaxed
data_NaReBr6
_symmetry_space_group_name_H-M 'P 1'
_symmetry_Int_Tables_number 1
_cell_length_a 6.879
_cell_length_b 6.879
_cell_length_c 6.726
_cell_angle_alpha 100.47
_cell_angle_beta 100.47
_cell_angle_gamma 115.87
loop_
_symmetry_equiv_pos_as_xyz
'x,y,z'
loop_
_atom_site_label
_atom_site_fract_x
_atom_site_fract_y
_atom_site_fract_z
Na1 0.000 0.000 0.000
Re1 0.500 0.500 0.500
Br1 0.141 0.449 0.269
Br2 0.288 0.288 0.717
Br3 0.449 0.141 0.269
Br4 0.551 0.859 0.731
Br5 0.712 0.712 0.283
Br6 0.859 0.551 0.731
# total magnetic moment	2.00	μB per cell
# DFT total energy	-3.504	eV per atom

***

Entry 9:
# PBE-GGA LiAcPd, relaxed
data_LiAcPd
_symmetry_space_group_name_H-M 'P 1'
_symmetry_Int_Tables_number 1
_cell_length_a 5.013
_cell_length_b 5.013
_cell_length_c 5.013
_cell_angle_alpha 60.00
_cell_angle_beta 60.00
_cell_angle_gamma 60.00
loop_
_symmetry_equiv_pos_as_xyz
'x,y,z'
loop_
_atom_site_label
_atom_site_fract_x
_atom_site_fract_y
_atom_site_fract_z
Li1 0.000 0.000 0.000
Ac1 0.250 0.250 0.250
Pd1 0.500 0.500 0.500
# total magnetic moment	0.00	μB per cell
# DFT total energy	-3.651	eV per atom

***

Entry 10:
# PBE-GGA MgReNiSb, relaxed
data_MgReNiSb
_symmetry_space_group_name_H-M 'P 1'
_symmetry_Int_Tables_number 1
_cell_length_a 4.500
_cell_length_b 4.500
_cell_length_c 4.500
_cell_angle_alpha 60.00
_cell_angle_beta 60.00
_cell_angle_gamma 60.00
loop_
_symmetry_equiv_pos_as_xyz
'x,y,z'
loop_
_atom_site_label
_atom_site_fract_x
_atom_site_fract_y
_atom_site_fract_z
Mg1 0.000 0.000 0.000
Re1 0.750 0.750 0.750
Ni1 0.500 0.500 0.500
Sb1 0.250 0.250 0.250
# total magnetic moment	0.18	μB per cell
# DFT total energy	-5.247	eV per atom

***

Entry 11:
# PBE-GGA NbFe2Si4, relaxed
data_NbFe2Si4
_symmetry_space_group_name_H-M 'P 1'
_symmetry_Int_Tables_number 1
_cell_length_a 3.907
_cell_length_b 3.907
_cell_length_c 6.032
_cell_angle_alpha 90.00
_cell_angle_beta 90.00
_cell_angle_gamma 90.00
loop_
_symmetry_equiv_pos_as_xyz
'x,y,z'
loop_
_atom_site_label
_atom_site_fract_x
_atom_site_fract_y
_atom_site_fract_z
Nb1 0.000 0.000 0.000
Fe1 0.000 0.000 0.500
Fe2 0.500 0.500 0.000
Si1 0.000 0.500 0.292
Si2 0.000 0.500 0.708
Si3 0.500 0.000 0.292
Si4 0.500 0.000 0.708
# total magnetic moment	1.69	μB per cell
# DFT total energy	-7.182	eV per atom

***

Entry 12:
# PBE-GGA Cu7Ag, relaxed
data_Cu7Ag
_symmetry_space_group_name_H-M 'P 1'
_symmetry_Int_Tables_number 1
_cell_length_a 2.652
_cell_length_b 3.535
_cell_length_c 10.714
_cell_angle_alpha 90.00
_cell_angle_beta 90.00
_cell_angle_gamma 90.00
loop_
_symmetry_equiv_pos_as_xyz
'x,y,z'
loop_
_atom_site_label
_atom_site_fract_x
_atom_site_fract_y
_atom_site_fract_z
Cu1 0.000 0.000 0.000
Cu2 0.000 0.000 0.238
Cu3 0.000 0.000 0.762
Cu4 0.500 0.500 0.118
Cu5 0.500 0.500 0.355
Cu6 0.500 0.500 0.645
Cu7 0.500 0.500 0.882
Ag1 0.000 0.000 0.500
# DFT total energy	-3.563	eV per atom
# energy of formation from the pure elements	0.0427	eV per atom

***

Entry 13:
# PBE-GGA LiPd2Pt, relaxed
data_LiPd2Pt
_symmetry_space_group_name_H-M 'P 1'
_symmetry_Int_Tables_number 1
_cell_length_a 4.374
_cell_length_b 4.374
_cell_length_c 4.374
_cell_angle_alpha 60.00
_cell_angle_beta 60.00
_cell_angle_gamma 60.00
loop_
_symmetry_equiv_pos_as_xyz
'x,y,z'
loop_
_atom_site_label
_atom_site_fract_x
_atom_site_fract_y
_atom_site_fract_z
Li1 0.000 0.000 0.000
Pd1 0.500 0.500 0.500
Pd2 0.750 0.750 0.750
Pt1 0.250 0.250 0.250
# total magnetic moment	0.43	μB per cell
# DFT total energy	-4.758	eV per atom

***

Entry 14:
# PBE-GGA DyTmSO2, relaxed
data_DyTmSO2
_symmetry_space_group_name_H-M 'P 1'
_symmetry_Int_Tables_number 1
_cell_length_a 3.756
_cell_length_b 3.756
_cell_length_c 6.532
_cell_angle_alpha 90.00
_cell_angle_beta 90.00
_cell_angle_gamma 120.00
loop_
_symmetry_equiv_pos_as_xyz
'x,y,z'
loop_
_atom_site_label
_atom_site_fract_x
_atom_site_fract_y
_atom_site_fract_z
Dy1 0.000 0.000 0.000
Tm1 0.333 0.667 0.565
S1 0.667 0.333 0.285
O1 0.000 0.000 0.649
O2 0.333 0.667 0.908
# total magnetic moment	0.00	μB per cell
# DFT total energy	-7.850	eV per atom

***

Entry 15:
# PBE-GGA Nb4Fe3W2N3, relaxed
data_Nb4Fe3W2N3
_symmetry_space_group_name_H-M 'P 1'
_symmetry_Int_Tables_number 1
_cell_length_a 5.171
_cell_length_b 5.171
_cell_length_c 13.390
_cell_angle_alpha 100.68
_cell_angle_beta 100.68
_cell_angle_gamma 59.67
loop_
_symmetry_equiv_pos_as_xyz
'x,y,z'
loop_
_atom_site_label
_atom_site_fract_x
_atom_site_fract_y
_atom_site_fract_z
Nb1 0.027 0.201 0.093
Nb2 0.138 0.302 0.407
Nb3 0.201 0.027 0.593
Nb4 0.302 0.138 0.907
Nb5 0.698 0.862 0.093
Nb6 0.799 0.973 0.407
Nb7 0.862 0.698 0.593
Nb8 0.973 0.799 0.907
Fe1 0.043 0.418 0.750
Fe2 0.117 0.883 0.750
Fe3 0.418 0.043 0.250
Fe4 0.582 0.957 0.750
Fe5 0.883 0.117 0.250
Fe6 0.957 0.582 0.250
W1 0.389 0.546 0.139
W2 0.454 0.611 0.361
W3 0.546 0.389 0.639
W4 0.611 0.454 0.861
N1 0.000 0.500 0.000
N2 0.205 0.647 0.500
N3 0.353 0.795 0.000
N4 0.500 0.000 0.500
N5 0.647 0.205 0.000
N6 0.795 0.353 0.500
# total magnetic moment	4.42	μB per cell
# DFT total energy	-9.898	eV per atom

***

Entry 16:
# PBE-GGA CoNi28, relaxed
data_CoNi28
_symmetry_space_group_name_H-M 'P 1'
_symmetry_Int_Tables_number 1
_cell_length_a 7.428
_cell_length_b 7.428
_cell_length_c 7.428
_cell_angle_alpha 109.47
_cell_angle_beta 109.47
_cell_angle_gamma 109.47
loop_
_symmetry_equiv_pos_as_xyz
'x,y,z'
loop_
_atom_site_label
_atom_site_fract_x
_atom_site_fract_y
_atom_site_fract_z
Co1 0.000 0.000 0.000
Ni1 0.000 0.000 0.647
Ni2 0.000 0.190 0.376
Ni3 0.000 0.376 0.190
Ni4 0.000 0.408 0.685
Ni5 0.000 0.647 0.000
Ni6 0.000 0.685 0.408
Ni7 0.185 0.810 0.810
Ni8 0.190 0.000 0.376
Ni9 0.190 0.376 0.000
Ni10 0.277 0.592 0.592
Ni11 0.315 0.315 0.723
Ni12 0.315 0.723 0.315
Ni13 0.353 0.353 0.353
Ni14 0.376 0.000 0.190
Ni15 0.376 0.190 0.000
Ni16 0.408 0.000 0.685
Ni17 0.408 0.685 0.000
Ni18 0.592 0.277 0.592
Ni19 0.592 0.592 0.277
Ni20 0.624 0.624 0.815
Ni21 0.624 0.815 0.624
Ni22 0.647 0.000 0.000
Ni23 0.685 0.000 0.408
Ni24 0.685 0.408 0.000
Ni25 0.723 0.315 0.315
Ni26 0.810 0.185 0.810
Ni27 0.810 0.810 0.185
Ni28 0.815 0.624 0.624
# total magnetic moment	17.97	μB per cell
# DFT total energy	-5.522	eV per atom
# energy of formation from the pure elements	0.0983	eV per atom

***

Entry 17:
# PBE-GGA AgPbSO, relaxed
data_AgPbSO
_symmetry_space_group_name_H-M 'P 1'
_symmetry_Int_Tables_number 1
_cell_length_a 5.935
_cell_length_b 9.080
_cell_length_c 5.944
_cell_angle_alpha 90.00
_cell_angle_beta 90.00
_cell_angle_gamma 90.00
loop_
_symmetry_equiv_pos_as_xyz
'x,y,z'
loop_
_atom_site_label
_atom_site_fract_x
_atom_site_fract_y
_atom_site_fract_z
Ag1 0.250 0.071 0.000
Ag2 0.250 0.071 0.500
Ag3 0.750 0.929 0.000
Ag4 0.750 0.929 0.500
Pb1 0.044 0.664 0.245
Pb2 0.456 0.664 0.745
Pb3 0.544 0.336 0.245
Pb4 0.956 0.336 0.745
S1 0.022 0.316 0.242
S2 0.478 0.316 0.742
S3 0.522 0.684 0.242
S4 0.978 0.684 0.742
O1 0.012 0.918 0.250
O2 0.488 0.918 0.750
O3 0.512 0.082 0.250
O4 0.988 0.082 0.750
# DFT total energy	-4.158	eV per atom

***

Entry 18:
# PBE-GGA LiGaSiAu, relaxed
data_LiGaSiAu
_symmetry_space_group_name_H-M 'P 1'
_symmetry_Int_Tables_number 1
_cell_length_a 4.486
_cell_length_b 4.486
_cell_length_c 4.486
_cell_angle_alpha 60.00
_cell_angle_beta 60.00
_cell_angle_gamma 60.00
loop_
_symmetry_equiv_pos_as_xyz
'x,y,z'
loop_
_atom_site_label
_atom_site_fract_x
_atom_site_fract_y
_atom_site_fract_z
Li1 0.000 0.000 0.000
Ga1 0.750 0.750 0.750
Si1 0.500 0.500 0.500
Au1 0.250 0.250 0.250
# DFT total energy	-3.538	eV per atom

***

Entry 19:
# PBE-GGA ZnCoW4N2, relaxed
data_ZnCoW4N2
_symmetry_space_group_name_H-M 'P 1'
_symmetry_Int_Tables_number 1
_cell_length_a 2.804
_cell_length_b 2.804
_cell_length_c 14.645
_cell_angle_alpha 90.00
_cell_angle_beta 90.00
_cell_angle_gamma 120.00
loop_
_symmetry_equiv_pos_as_xyz
'x,y,z'
loop_
_atom_site_label
_atom_site_fract_x
_atom_site_fract_y
_atom_site_fract_z
Zn1 0.000 0.000 0.000
Co1 0.333 0.667 0.500
W1 0.000 0.000 0.355
W2 0.000 0.000 0.645
W3 0.333 0.667 0.155
W4 0.333 0.667 0.845
N1 0.667 0.333 0.254
N2 0.667 0.333 0.746
# total magnetic moment	0.91	μB per cell
# DFT total energy	-9.491	eV per atom

***

Entry 20:
# PBE-GGA KHgGe, relaxed
data_KHgGe
_symmetry_space_group_name_H-M 'P 1'
_symmetry_Int_Tables_number 1
_cell_length_a 5.081
_cell_length_b 5.081
_cell_length_c 5.081
_cell_angle_alpha 60.00
_cell_angle_beta 60.00
_cell_angle_gamma 60.00
loop_
_symmetry_equiv_pos_as_xyz
'x,y,z'
loop_
_atom_site_label
_atom_site_fract_x
_atom_site_fract_y
_atom_site_fract_z
K1 0.000 0.000 0.000
Hg1 0.500 0.500 0.500
Ge1 0.750 0.750 0.750
# DFT total energy	-1.818	eV per atom

***

Entry 21:
# PBE-GGA LiNiHgGe, relaxed
data_LiNiHgGe
_symmetry_space_group_name_H-M 'P 1'
_symmetry_Int_Tables_number 1
_cell_length_a 4.410
_cell_length_b 4.410
_cell_length_c 4.410
_cell_angle_alpha 60.00
_cell_angle_beta 60.00
_cell_angle_gamma 60.00
loop_
_symmetry_equiv_pos_as_xyz
'x,y,z'
loop_
_atom_site_label
_atom_site_fract_x
_atom_site_fract_y
_atom_site_fract_z
Li1 0.000 0.000 0.000
Ni1 0.500 0.500 0.500
Hg1 0.750 0.750 0.750
Ge1 0.250 0.250 0.250
# total magnetic moment	0.01	μB per cell
# DFT total energy	-3.225	eV per atom

***

Entry 22:
# PBE-GGA Dy3Ho2ScAs2Os, relaxed
data_Dy3Ho2ScAs2Os
_symmetry_space_group_name_H-M 'P 1'
_symmetry_Int_Tables_number 1
_cell_length_a 4.115
_cell_length_b 7.745
_cell_length_c 7.745
_cell_angle_alpha 119.29
_cell_angle_beta 90.00
_cell_angle_gamma 90.00
loop_
_symmetry_equiv_pos_as_xyz
'x,y,z'
loop_
_atom_site_label
_atom_site_fract_x
_atom_site_fract_y
_atom_site_fract_z
Dy1 0.000 0.000 0.000
Dy2 0.000 0.178 0.579
Dy3 0.000 0.579 0.178
Ho1 0.500 0.582 0.822
Ho2 0.500 0.822 0.582
Sc1 0.500 0.334 0.334
As1 0.500 0.249 0.922
As2 0.500 0.922 0.249
Os1 0.000 0.552 0.552
# total magnetic moment	0.01	μB per cell
# DFT total energy	-6.319	eV per atom

***

Entry 23:
# PBE-GGA CuNi3S5, relaxed
data_CuNi3S5
_symmetry_space_group_name_H-M 'P 1'
_symmetry_Int_Tables_number 1
_cell_length_a 5.438
_cell_length_b 5.438
_cell_length_c 6.068
_cell_angle_alpha 90.00
_cell_angle_beta 90.00
_cell_angle_gamma 120.00
loop_
_symmetry_equiv_pos_as_xyz
'x,y,z'
loop_
_atom_site_label
_atom_site_fract_x
_atom_site_fract_y
_atom_site_fract_z
Cu1 0.000 0.000 0.000
Ni1 0.000 0.500 0.500
Ni2 0.500 0.000 0.500
Ni3 0.500 0.500 0.500
S1 0.000 0.000 0.500
S2 0.333 0.667 0.245
S3 0.333 0.667 0.755
S4 0.667 0.333 0.245
S5 0.667 0.333 0.755
# total magnetic moment	0.00	μB per cell
# DFT total energy	-4.431	eV per atom